{"formula": "K4Si3", "functional": "PBE", "state": "relaxed", "cell": [[5.198, 0.000, 0.000], [-2.599, 4.502, 0.000], [0.000, 0.000, 12.514]], "species": ["K", "K", "K", "K", "Si", "Si", "Si"], "frac_coords": [[0.000, 0.000, 0.181], [0.000, 0.000, 0.819], [0.333, 0.667, 0.500], [0.667, 0.333, 0.500], [0.000, 0.500, 0.000], [0.500, 0.000, 0.000], [0.500, 0.500, 0.000]], "raw_formation_energy_ev_per_atom": 0.406, "total_magnetization_mub_per_cell": 0.0, "total_energy_ev_per_cell": -17.818}

{"formula": "KSi2", "functional": "PBE", "state": "relaxed", "cell": [[1.968, -6.116, 0.000], [1.968, 6.116, 0.000], [0.000, 0.000, 2.884]], "species": ["K", "Si", "Si"], "frac_coords": [[0.000, 0.000, 0.000], [0.305, 0.695, 0.500], [0.695, 0.305, 0.500]], "e_above_lowest_polymorph_ev_per_atom": 0.199, "raw_formation_energy_ev_per_atom": 0.228, "total_magnetization_mub_per_cell": 0.0, "total_energy_ev_per_cell": -11.260}

{"formula": "K2Si", "functional": "PBE", "state": "relaxed", "cell": [[6.317, -2.002, 0.000], [6.317, 2.002, 0.000], [-0.347, 0.000, 11.903]], "species": ["K", "K", "K", "K", "Si", "Si"], "frac_coords": [[0.000, 0.000, 0.000], [0.248, 0.250, 0.260], [0.750, 0.752, 0.740], [0.901, 0.099, 0.500], [0.279, 0.280, 0.958], [0.720, 0.721, 0.042]], "e_above_lowest_polymorph_ev_per_atom": 0.037, "raw_formation_energy_ev_per_atom": 0.079, "total_magnetization_mub_per_cell": 0.0, "total_energy_ev_per_cell": -14.759}